Record 1
The following is a GGA-PBE calculation of a geometry-optimized ThCoCu structure, from Alexandria via LeMat-Bulk.

Properties
- Total moment: 0.0000 μB/atom
- Calculated formation energy: -0.62 eV per formula unit

Geometry as POSCAR:
```
ThCoCu
1.0
3.891 0.000 0.000
-1.945 4.606 -1.326
0.000 -4.020 7.223
Co Cu Th
2 2 2
Direct
0.983 0.967 0.831
0.017 0.033 0.169
0.377 0.755 0.570
0.623 0.245 0.430
0.759 0.519 0.194
0.241 0.481 0.806
```

---

Record 2
The following is a GGA-PBE calculation of a geometry-optimized MgP structure, from Alexandria via LeMat-Bulk.

Properties
- Relative energy among the computed polymorphs: 0.482 eV/f.u.
- Total moment: 0.0000 μB/atom
- Calculated formation energy: -0.56 eV per formula unit

Geometry as POSCAR:
```
MgP
1.0
3.097 0.000 0.000
0.000 5.492 0.000
0.000 0.000 4.293
Mg P
2 2
Direct
0.000 0.000 0.166
0.500 0.500 0.667
0.500 0.000 0.666
0.000 0.500 0.167
```

---

Record 3
The following is a GGA-PBE calculation of a geometry-optimized Sm2CuSi4Ni3 structure, from Alexandria via LeMat-Bulk.

Properties
- Total moment: 0.0000 μB/atom
- Energy relative to the elements, uncorrected: -0.77 eV per atom

Geometry as POSCAR:
```
Sm2CuSi4Ni3
1.0
4.028 0.000 0.000
0.000 4.028 0.000
0.000 0.000 9.605
Sm Cu Si Ni
2 1 4 3
Direct
0.500 0.000 0.248
0.000 0.500 0.752
0.500 0.500 0.500
0.500 0.500 0.000
0.000 0.000 0.000
0.500 0.000 0.634
0.000 0.500 0.366
0.000 0.000 0.500
0.500 0.000 0.879
0.000 0.500 0.121
```

---

Record 4
The following is a GGA-PBE calculation of a geometry-optimized Cr2SiPAu structure, from Alexandria via LeMat-Bulk.

Properties
- Relative energy among the computed polymorphs: 0.702 eV/f.u.
- Total moment: 0.0000 μB/atom
- Energy relative to the elements, uncorrected: 0.03 eV per atom

Geometry as POSCAR:
```
Cr2SiPAu
1.0
4.122 0.001 -0.004
1.951 3.714 -0.004
1.069 0.562 4.803
Cr Si Au P
2 1 1 1
Direct
0.442 0.088 0.501
0.830 0.404 0.387
0.054 0.175 0.923
0.406 0.507 0.928
0.139 0.767 0.386
```

---

Record 5
The following is a GGA-PBE calculation of a geometry-optimized Tb2ZnCu6 structure, from Alexandria via LeMat-Bulk.

Properties
- Total moment: 0.0000 μB/atom
- Calculated formation energy: -1.80 eV per formula unit

Geometry as POSCAR:
```
Tb2ZnCu6
1.0
-2.159 4.323 2.850
-0.928 -3.294 4.294
3.849 -0.625 3.866
Tb Zn Cu
2 1 6
Direct
0.845 0.667 0.667
0.155 0.333 0.333
0.000 0.000 0.000
0.339 0.359 0.821
0.337 0.821 0.821
0.339 0.821 0.359
0.661 0.641 0.179
0.663 0.179 0.179
0.661 0.179 0.641
```

---

Record 6
The following is a GGA-PBE calculation of a geometry-optimized BeRuS2N structure, from Alexandria via LeMat-Bulk.

Properties
- Relative energy among the computed polymorphs: 0.175 eV/f.u.
- Total moment: 0.0000 μB/atom
- Energy relative to the elements, uncorrected: 0.77 eV per atom

Geometry as POSCAR:
```
BeRuS2N
1.0
4.788 0.000 0.000
0.000 4.788 0.000
0.000 0.000 3.613
Ru S Be N
1 2 1 1
Direct
0.000 0.000 0.000
0.000 0.500 0.000
0.500 0.000 0.000
0.500 0.500 0.500
0.000 0.000 0.500
```

---

Record 7
The following is a GGA-PBE calculation of a geometry-optimized PuAg3Au2 structure, from Alexandria via LeMat-Bulk.

Properties
- Total moment: 0.9651 μB/atom
- Calculated formation energy: 0.42 eV per formula unit

Geometry as POSCAR:
```
PuAg3Au2
1.0
-4.830 -2.702 2.947
-3.145 -4.667 -2.764
1.839 -7.250 3.036
Pu Ag Au
2 6 4
Direct
0.779 0.779 0.664
0.221 0.221 0.336
0.240 0.719 0.322
0.719 0.240 0.322
0.719 0.719 0.322
0.281 0.760 0.678
0.760 0.281 0.678
0.281 0.281 0.678
0.000 0.000 0.000
0.000 0.500 0.000
0.500 0.500 0.000
0.500 0.000 0.000
```